The following is a PBE calculation of a geometry-optimized BaMoPt structure, from Alexandria via LeMat-Bulk.

Computed properties:
DFT formation energy ... -33 meV/atom
Energy relative to the lowest polymorph listed for this composition ... 8 meV/atom
Energy ... -6.298 eV/atom
Volume ... 166.0 Å³/cell

Unit cell a=4.3989 b=4.1220 c=9.1759 alpha=90.00 beta=94.04 gamma=90.00
Space group P2_1/m (No. 11)
Symmetry-distinct sites (fractional):
1 Ba 0.2331 0.2500 0.3274 x2
2 Mo 0.1822 0.7500 0.0059 x2
3 Pt 0.3130 0.2500 0.8315 x2

The following is a PBE calculation of a geometry-optimized Ba4MoPt structure, from Alexandria via LeMat-Bulk.

Computed properties:
DFT formation energy ... 1169 meV/atom
Energy ... -2.925 eV/atom
Volume ... 921.2 Å³/cell

Unit cell a=9.7302 b=9.7302 c=9.7302 alpha=90.00 beta=90.00 gamma=90.00
Space group F-43m (No. 216)
Symmetry-distinct sites (fractional):
1 Ba 0.1241 0.1241 0.3759 x16
2 Mo 0.0000 0.0000 0.0000 x4
3 Pt 0.2500 0.2500 0.7500 x4

The following is a PBE calculation of a geometry-optimized Ba2MoPt structure, from Alexandria via LeMat-Bulk.

Computed properties:
DFT formation energy ... 604 meV/atom
Energy relative to the lowest polymorph listed for this composition ... 414 meV/atom
Energy ... -4.576 eV/atom
Volume ... 497.6 Å³/cell

Unit cell a=7.9245 b=7.9245 c=7.9245 alpha=90.00 beta=90.00 gamma=90.00
Space group Fm-3m (No. 225)
Symmetry-distinct sites (fractional):
1 Ba 0.2500 0.2500 0.2500 x8
2 Mo 0.0000 0.0000 0.0000 x4
3 Pt 0.0000 0.0000 0.5000 x4

The following is a PBE calculation of a geometry-optimized BaMoPt structure, from Alexandria via LeMat-Bulk.

Computed properties:
DFT formation energy ... 101 meV/atom
Energy relative to the lowest polymorph listed for this composition ... 142 meV/atom
Energy ... -6.164 eV/atom
Volume ... 164.6 Å³/cell

Unit cell a=5.1725 b=5.6644 c=6.4856 alpha=101.86 beta=90.03 gamma=117.09
Space group P1 (No. 1)
Symmetry-distinct sites (fractional):
1 Ba 0.0000 0.0000 0.0000 x1
2 Ba 0.2852 0.5704 0.6526 x1
3 Mo 0.5476 0.0944 0.4049 x1
4 Mo 0.7162 0.4335 0.2473 x1
5 Pt 0.6386 0.2773 0.8291 x1
6 Pt 0.9665 0.9316 0.4711 x1

The following is a PBE calculation of a geometry-optimized BaMo4Pt structure, from Alexandria via LeMat-Bulk.

Computed properties:
DFT formation energy ... 782 meV/atom
Energy ... -7.766 eV/atom
Volume ... 461.2 Å³/cell

Unit cell a=7.7261 b=7.7261 c=7.7261 alpha=90.00 beta=90.00 gamma=90.00
Space group F-43m (No. 216)
Symmetry-distinct sites (fractional):
1 Ba 0.0000 0.0000 0.0000 x4
2 Mo 0.1250 0.1250 0.6250 x16
3 Pt 0.2500 0.2500 0.2500 x4

The following is a PBE calculation of a geometry-optimized Ba2MoPt structure, from Alexandria via LeMat-Bulk.

Computed properties:
DFT formation energy ... 298 meV/atom
Energy relative to the lowest polymorph listed for this composition ... 109 meV/atom
Energy ... -4.881 eV/atom
Volume ... 129.8 Å³/cell

Unit cell a=3.6541 b=3.6541 c=9.7200 alpha=90.00 beta=90.00 gamma=90.00
Space group P4mm (No. 99)
Symmetry-distinct sites (fractional):
1 Ba 0.0000 0.0000 0.0000 x1
2 Ba 0.5000 0.5000 0.4149 x1
3 Mo 0.0000 0.0000 0.6844 x1
4 Pt 0.5000 0.5000 0.7517 x1

The following is a PBE calculation of a geometry-optimized BaMoPt structure, from Alexandria via LeMat-Bulk.

Computed properties:
DFT formation energy ... 181 meV/atom
Energy relative to the lowest polymorph listed for this composition ... 223 meV/atom
Energy ... -6.083 eV/atom
Volume ... 371.9 Å³/cell

Unit cell a=7.3662 b=6.9599 c=8.0925 alpha=90.00 beta=116.30 gamma=90.00
Space group Cm (No. 8)
Symmetry-distinct sites (fractional):
1 Ba 0.0000 0.0000 0.0000 x2
2 Ba 0.2029 0.5000 0.4176 x2
3 Mo 0.2682 0.0000 0.4995 x2
4 Mo 0.4469 0.0000 0.7981 x2
5 Pt 0.1144 0.2179 0.7112 x4

The following is a PBE calculation of a geometry-optimized Ba2MoPt structure, from Alexandria via LeMat-Bulk.

Computed properties:
DFT formation energy ... 651 meV/atom
Energy relative to the lowest polymorph listed for this composition ... 461 meV/atom
Energy ... -4.529 eV/atom
Volume ... 304.5 Å³/cell

Unit cell a=7.8167 b=4.4866 c=9.0515 alpha=90.00 beta=106.43 gamma=90.00
Space group C2/m (No. 12)
Symmetry-distinct sites (fractional):
1 Ba 0.2356 0.0000 0.2084 x4
2 Mo 0.0000 0.0000 0.5000 x2
3 Pt 0.0000 0.5000 0.0000 x2

The following is a PBE calculation of a geometry-optimized BaMo2Pt structure, from Alexandria via LeMat-Bulk.

Computed properties:
DFT formation energy ... 679 meV/atom
Energy relative to the lowest polymorph listed for this composition ... 365 meV/atom
Energy ... -6.728 eV/atom
Volume ... 176.9 Å³/cell

Unit cell a=3.2481 b=5.5671 c=9.7805 alpha=90.00 beta=90.00 gamma=90.00
Space group Imm2 (No. 44)
Symmetry-distinct sites (fractional):
1 Ba 0.0000 0.0000 0.0000 x2
2 Mo 0.0000 0.0000 0.4715 x2
3 Mo 0.0000 0.5000 0.7931 x2
4 Pt 0.0000 0.5000 0.2089 x2

The following is a PBE calculation of a geometry-optimized BaMo2Pt structure, from Alexandria via LeMat-Bulk.

Computed properties:
DFT formation energy ... 688 meV/atom
Energy relative to the lowest polymorph listed for this composition ... 375 meV/atom
Energy ... -6.718 eV/atom
Volume ... 170.9 Å³/cell

Unit cell a=2.8559 b=5.2631 c=11.3707 alpha=90.00 beta=90.00 gamma=90.00
Space group Immm (No. 71)
Symmetry-distinct sites (fractional):
1 Ba 0.0000 0.0000 0.0000 x2
2 Mo 0.0000 0.5000 0.2111 x4
3 Pt 0.0000 0.0000 0.5000 x2

The following is a PBE calculation of a geometry-optimized BaMoPt structure, from Alexandria via LeMat-Bulk.

Computed properties:
DFT formation energy ... 1494 meV/atom
Energy relative to the lowest polymorph listed for this composition ... 1535 meV/atom
Energy ... -4.771 eV/atom
Volume ... 345.8 Å³/cell

Unit cell a=7.0191 b=7.0191 c=7.0191 alpha=90.00 beta=90.00 gamma=90.00
Space group F-43m (No. 216)
Symmetry-distinct sites (fractional):
1 Ba 0.0000 0.0000 0.0000 x4
2 Mo 0.2500 0.2500 0.2500 x4
3 Pt 0.2500 0.2500 0.7500 x4

The following is a PBE calculation of a geometry-optimized BaMo2Pt2 structure, from Alexandria via LeMat-Bulk.

Computed properties:
DFT formation energy ... 97 meV/atom
Energy ... -7.036 eV/atom
Volume ... 194.7 Å³/cell

Unit cell a=8.2448 b=8.2448 c=2.8645 alpha=90.00 beta=90.00 gamma=90.00
Space group P4/mbm (No. 127)
Symmetry-distinct sites (fractional):
1 Ba 0.0000 0.0000 0.0000 x2
2 Mo 0.1100 0.3900 0.0000 x4
3 Pt 0.1762 0.6762 0.5000 x4

The following is a PBE calculation of a geometry-optimized BaMoPt structure, from Alexandria via LeMat-Bulk.

Computed properties:
DFT formation energy ... 320 meV/atom
Energy relative to the lowest polymorph listed for this composition ... 362 meV/atom
Energy ... -5.945 eV/atom
Volume ... 369.6 Å³/cell

Unit cell a=6.8995 b=4.5144 c=11.8652 alpha=90.00 beta=90.00 gamma=90.00
Space group Pnma (No. 62)
Symmetry-distinct sites (fractional):
1 Ba 0.1443 0.2500 0.1415 x4
2 Mo 0.0479 0.7500 0.4019 x4
3 Pt 0.1822 0.2500 0.4327 x4

The following is a PBE calculation of a geometry-optimized BaMo2Pt structure, from Alexandria via LeMat-Bulk.

Computed properties:
DFT formation energy ... 929 meV/atom
Energy relative to the lowest polymorph listed for this composition ... 616 meV/atom
Energy ... -6.477 eV/atom
Volume ... 80.9 Å³/cell

Unit cell a=2.9557 b=5.1877 c=5.2770 alpha=90.00 beta=90.00 gamma=90.00
Space group Pmmm (No. 47)
Symmetry-distinct sites (fractional):
1 Ba 0.0000 0.0000 0.0000 x1
2 Mo 0.0000 0.5000 0.5000 x1
3 Mo 0.5000 0.0000 0.5000 x1
4 Pt 0.5000 0.5000 0.0000 x1

The following is a PBE calculation of a geometry-optimized BaMoPt structure, from Alexandria via LeMat-Bulk.

Computed properties:
DFT formation energy ... 805 meV/atom
Energy relative to the lowest polymorph listed for this composition ... 846 meV/atom
Energy ... -5.460 eV/atom
Volume ... 350.9 Å³/cell

Unit cell a=7.0531 b=7.0531 c=7.0531 alpha=90.00 beta=90.00 gamma=90.00
Space group F-43m (No. 216)
Symmetry-distinct sites (fractional):
1 Ba 0.0000 0.0000 0.0000 x4
2 Mo 0.0000 0.0000 0.5000 x4
3 Pt 0.2500 0.2500 0.2500 x4

The following is a PBE calculation of a geometry-optimized Ba2MoPt structure, from Alexandria via LeMat-Bulk.

Computed properties:
DFT formation energy ... 665 meV/atom
Energy relative to the lowest polymorph listed for this composition ... 476 meV/atom
Energy ... -4.514 eV/atom
Volume ... 453.0 Å³/cell

Unit cell a=7.6803 b=7.6803 c=7.6803 alpha=90.00 beta=90.00 gamma=90.00
Space group F-43m (No. 216)
Symmetry-distinct sites (fractional):
1 Ba 0.0000 0.0000 0.0000 x4
2 Ba 0.2500 0.2500 0.2500 x4
3 Mo 0.0000 0.0000 0.5000 x4
4 Pt 0.2500 0.2500 0.7500 x4

The following is a PBE calculation of a geometry-optimized BaMo2Pt structure, from Alexandria via LeMat-Bulk.

Computed properties:
DFT formation energy ... 762 meV/atom
Energy relative to the lowest polymorph listed for this composition ... 449 meV/atom
Energy ... -6.644 eV/atom
Volume ... 81.3 Å³/cell

Unit cell a=2.8793 b=2.8793 c=9.8019 alpha=90.00 beta=90.00 gamma=90.00
Space group P4/mmm (No. 123)
Symmetry-distinct sites (fractional):
1 Ba 0.0000 0.0000 0.0000 x1
2 Mo 0.5000 0.5000 0.3006 x2
3 Pt 0.0000 0.0000 0.5000 x1

The following is a PBE calculation of a geometry-optimized BaMoPt structure, from Alexandria via LeMat-Bulk.

Computed properties:
DFT formation energy ... 19 meV/atom
Energy relative to the lowest polymorph listed for this composition ... 60 meV/atom
Energy ... -6.246 eV/atom
Volume ... 325.9 Å³/cell

Unit cell a=11.1286 b=4.5957 c=6.3994 alpha=90.00 beta=95.27 gamma=90.00
Space group C2/m (No. 12)
Symmetry-distinct sites (fractional):
1 Ba 0.1284 0.0000 0.3450 x4
2 Mo 0.0791 0.5000 0.9013 x4
3 Pt 0.1885 0.0000 0.8815 x4

The following is a PBE calculation of a geometry-optimized BaMo2Pt structure, from Alexandria via LeMat-Bulk.

Computed properties:
DFT formation energy ... 1064 meV/atom
Energy relative to the lowest polymorph listed for this composition ... 750 meV/atom
Energy ... -6.343 eV/atom
Volume ... 167.9 Å³/cell

Unit cell a=4.1017 b=4.1017 c=9.9821 alpha=90.00 beta=90.00 gamma=90.00
Space group I4/mmm (No. 139)
Symmetry-distinct sites (fractional):
1 Ba 0.0000 0.0000 0.0000 x2
2 Mo 0.0000 0.5000 0.2500 x4
3 Pt 0.0000 0.0000 0.5000 x2

The following is a PBE calculation of a geometry-optimized BaMo2Pt structure, from Alexandria via LeMat-Bulk.

Computed properties:
DFT formation energy ... 395 meV/atom
Energy relative to the lowest polymorph listed for this composition ... 82 meV/atom
Energy ... -7.011 eV/atom
Volume ... 202.0 Å³/cell

Unit cell a=9.2946 b=3.6407 c=6.1217 alpha=90.00 beta=102.81 gamma=90.00
Space group C2/m (No. 12)
Symmetry-distinct sites (fractional):
1 Ba 0.0000 0.0000 0.0000 x2
2 Mo 0.2151 0.0000 0.6086 x4
3 Pt 0.0000 0.5000 0.5000 x2